Compound: HfCoCuSn
Source: OQMD
Functional: PBE
Structure: optimized geometry

abc: 6.2993 6.2993 6.2993
angles: 90.00 90.00 90.00
Space group F-43m (No. 216)
Unique sites:
1 Hf 0.0000 0.0000 0.0000 x4
2 Co 0.2500 0.2500 0.7500 x4
3 Cu 0.2500 0.2500 0.2500 x4
4 Sn 0.0000 0.0000 0.5000 x4

Values from the calculation:
final energy	-25.90	eV per formula unit
total magnetic moment	0.0	μB/f.u.



Compound: UTcSn
Source: OQMD
Functional: PBE
Structure: optimized geometry

abc: 6.6766 6.6766 6.6766
angles: 90.00 90.00 90.00
Space group F-43m (No. 216)
Unique sites:
1 U 0.0000 0.0000 0.0000 x4
2 Tc 0.2500 0.2500 0.2500 x4
3 Sn 0.2500 0.2500 0.7500 x4

Values from the calculation:
final energy	-22.67	eV per formula unit
total magnetic moment	0.9	μB/f.u.



Compound: HfTlFeW
Source: OQMD
Functional: PBE
Structure: optimized geometry

abc: 6.5352 6.5352 6.5352
angles: 90.00 90.00 90.00
Space group F-43m (No. 216)
Unique sites:
1 Hf 0.0000 0.0000 0.0000 x4
2 Tl 0.2500 0.2500 0.2500 x4
3 Fe 0.0000 0.0000 0.5000 x4
4 W 0.2500 0.2500 0.7500 x4

Values from the calculation:
final energy	-31.08	eV per formula unit
total magnetic moment	3.0	μB/f.u.



Compound: Lu2NbPt
Source: OQMD
Functional: PBE
Structure: optimized geometry

abc: 6.8558 6.8558 6.8558
angles: 90.00 90.00 90.00
Space group F-43m (No. 216)
Unique sites:
1 Lu 0.0000 0.0000 0.0000 x4
2 Lu 0.2500 0.2500 0.2500 x4
3 Nb 0.0000 0.0000 0.5000 x4
4 Pt 0.2500 0.2500 0.7500 x4

Values from the calculation:
energy of formation	-117	meV/atom
final energy	-25.67	eV per formula unit
total magnetic moment	0.0	μB/f.u.



Compound: ReSn2Au
Source: OQMD
Functional: PBE
Structure: optimized geometry

abc: 6.8498 6.8498 6.8498
angles: 90.00 90.00 90.00
Space group F-43m (No. 216)
Unique sites:
1 Re 0.0000 0.0000 0.0000 x4
2 Sn 0.0000 0.0000 0.5000 x4
3 Sn 0.2500 0.2500 0.7500 x4
4 Au 0.2500 0.2500 0.2500 x4

Values from the calculation:
final energy	-20.52	eV per formula unit
total magnetic moment	0.2	μB/f.u.



Compound: LiCd
Source: OQMD
Functional: PBE
Structure: optimized geometry

abc: 5.4966 5.4966 5.4966
angles: 90.00 90.00 90.00
Space group Fm-3m (No. 225)
Unique sites:
1 Li 0.0000 0.0000 0.0000 x4
2 Cd 0.0000 0.0000 0.5000 x4

Values from the calculation:
final energy	-2.84	eV per formula unit



Compound: NbInO4
Source: OQMD
Functional: PBE
Structure: optimized geometry

abc: 4.9343 5.7074 5.1484
angles: 90.00 90.94 90.00
Space group P2/c (No. 13)
Unique sites:
1 Nb 0.0000 0.1864 0.2500 x2
2 In 0.5000 0.3115 0.7500 x2
3 O 0.2187 0.0966 0.9431 x4
4 O 0.2586 0.3910 0.4066 x4

Values from the calculation:
final energy	-45.55	eV per formula unit
total magnetic moment	0.0	μB/f.u.



Compound: AgB4Pb
Source: OQMD
Functional: PBE
Structure: optimized geometry

abc: 3.0905 3.0905 8.9487
angles: 90.00 90.00 120.00
Space group P6/mmm (No. 191)
Unique sites:
1 Ag 0.0000 0.0000 0.0000 x1
2 B 0.3333 0.6667 0.2199 x4
3 Pb 0.0000 0.0000 0.5000 x1

Values from the calculation:
final energy	-29.59	eV per formula unit



Compound: NaCd
Source: OQMD
Functional: PBE
Structure: optimized geometry

abc: 4.7070 4.7070 6.0576
angles: 90.00 90.00 120.00
Space group P6_3/mmc (No. 194)
Unique sites:
1 Na 0.3333 0.6667 0.2500 x2
2 Cd 0.0000 0.0000 0.0000 x2

Values from the calculation:
final energy	-2.13	eV per formula unit



Compound: LiPrAsO
Source: OQMD
Functional: PBE
Structure: optimized geometry

abc: 4.2357 4.2357 4.7400
angles: 90.00 90.00 90.00
Space group P4/mmm (No. 123)
Unique sites:
1 Li 0.0000 0.0000 0.0000 x1
2 Pr 0.5000 0.5000 0.5000 x1
3 As 0.0000 0.0000 0.5000 x1
4 O 0.5000 0.5000 0.0000 x1

Values from the calculation:
final energy	-21.35	eV per formula unit
total magnetic moment	0.7	μB/f.u.



Compound: LiCu2B
Source: OQMD
Functional: PBE
Structure: optimized geometry

abc: 5.4697 5.4697 5.4697
angles: 90.00 90.00 90.00
Space group F-43m (No. 216)
Unique sites:
1 Li 0.0000 0.0000 0.0000 x4
2 Cu 0.0000 0.0000 0.5000 x4
3 Cu 0.2500 0.2500 0.2500 x4
4 B 0.2500 0.2500 0.7500 x4

Values from the calculation:
final energy	-14.60	eV per formula unit



Compound: Cu4IBr3
Source: OQMD
Functional: PBE
Structure: optimized geometry

abc: 5.8909 5.9150 12.8254
angles: 90.00 90.00 90.00
Space group Cmm2 (No. 35)
Unique sites:
1 Cu 0.0000 0.2492 0.0000 x4
2 Cu 0.2392 0.5000 0.4920 x4
3 I 0.0000 0.0000 0.6403 x2
4 Br 0.0000 0.0000 0.1363 x2
5 Br 0.0000 0.5000 0.3506 x2
6 Br 0.0000 0.5000 0.8640 x2

Values from the calculation:
final energy	-22.93	eV per formula unit



Compound: PrNd2Se3
Source: OQMD
Functional: PBE
Structure: optimized geometry

abc: 4.2307 4.2307 10.3930
angles: 90.00 90.00 120.00
Space group P-3m1 (No. 164)
Unique sites:
1 Pr 0.0000 0.0000 0.0000 x1
2 Nd 0.3333 0.6667 0.6658 x2
3 Se 0.0000 0.0000 0.5000 x1
4 Se 0.3333 0.6667 0.1691 x2

Values from the calculation:
final energy	-35.81	eV per formula unit
total magnetic moment	0.0	μB/f.u.



Compound: ErNi2Pd2
Source: OQMD
Functional: PBE
Structure: optimized geometry

abc: 3.9689 3.9689 10.5436
angles: 90.00 90.00 90.00
Space group P4/nmm (No. 129, origin choice 2)
Unique sites:
1 Er 0.2500 0.2500 0.2488 x2
2 Ni 0.2500 0.2500 0.8572 x2
3 Ni 0.2500 0.7500 0.5000 x2
4 Pd 0.2500 0.2500 0.6379 x2
5 Pd 0.2500 0.7500 0.0000 x2

Values from the calculation:
energy of formation	-289	meV/atom
final energy	-27.50	eV per formula unit
total magnetic moment	0.2	μB/f.u.



Compound: CoSnHgOs
Source: OQMD
Functional: PBE
Structure: optimized geometry

abc: 6.4090 6.4090 6.4090
angles: 90.00 90.00 90.00
Space group F-43m (No. 216)
Unique sites:
1 Co 0.0000 0.0000 0.0000 x4
2 Sn 0.2500 0.2500 0.7500 x4
3 Hg 0.2500 0.2500 0.2500 x4
4 Os 0.0000 0.0000 0.5000 x4

Values from the calculation:
final energy	-20.35	eV per formula unit
total magnetic moment	0.0	μB/f.u.



Compound: PmMgTl
Source: OQMD
Functional: PBE
Structure: optimized geometry

abc: 7.1185 7.1185 7.1185
angles: 90.00 90.00 90.00
Space group F-43m (No. 216)
Unique sites:
1 Pm 0.0000 0.0000 0.0000 x4
2 Mg 0.0000 0.0000 0.5000 x4
3 Tl 0.2500 0.2500 0.7500 x4

Values from the calculation:
final energy	-9.29	eV per formula unit
total magnetic moment	0.0	μB/f.u.



Compound: ScSiW3
Source: OQMD
Functional: PBE
Structure: optimized geometry

abc: 4.5540 4.5540 4.5540
angles: 90.00 90.00 90.00
Space group Pm-3m (No. 221)
Unique sites:
1 Sc 0.0000 0.0000 0.0000 x1
2 Si 0.5000 0.5000 0.5000 x1
3 W 0.0000 0.5000 0.5000 x3

Values from the calculation:
final energy	-46.03	eV per formula unit
total magnetic moment	0.0	μB/f.u.



Compound: NaTmSeS
Source: OQMD
Functional: PBE
Structure: optimized geometry

abc: 4.0068 4.0068 20.4912
angles: 90.00 90.00 120.00
Space group R3m (No. 160, hexagonal axes)
Unique sites:
1 Na 0.0000 0.0000 0.0000 x3
2 Tm 0.0000 0.0000 0.4943 x3
3 Se 0.0000 0.0000 0.2407 x3
4 S 0.0000 0.0000 0.7573 x3

Values from the calculation:
final energy	-20.49	eV per formula unit
total magnetic moment	0.0	μB/f.u.



Compound: Cd4P2Br3
Source: OQMD
Functional: PBE
Structure: optimized geometry

abc: 12.4824 12.4824 12.4824
angles: 90.00 90.00 90.00
Space group Pa-3 (No. 205)
Unique sites:
1 Cd 0.0052 0.2461 0.0310 x24
2 Cd 0.2203 0.7203 0.7797 x8
3 P 0.0505 0.0505 0.0505 x8
4 P 0.1047 0.6047 0.8953 x8
5 Br 0.0640 0.2368 0.3114 x24

Values from the calculation:
final energy	-23.88	eV per formula unit



Compound: Hf2ZnSi
Source: OQMD
Functional: PBE
Structure: optimized geometry

abc: 6.5888 6.5888 6.5888
angles: 90.00 90.00 90.00
Space group F-43m (No. 216)
Unique sites:
1 Hf 0.0000 0.0000 0.0000 x4
2 Hf 0.2500 0.2500 0.2500 x4
3 Zn 0.2500 0.2500 0.7500 x4
4 Si 0.0000 0.0000 0.5000 x4

Values from the calculation:
final energy	-25.45	eV per formula unit
total magnetic moment	0.0	μB/f.u.